First-principles (GGA-PBE) data for a relaxed structure of KBaMg2Pd, as listed in Alexandria.

Calculated values
The space group is P4/mmm, No. 123. As for the electronic total energy: -2.44 eV/atom.

Lattice parameters (Å, degrees): 5.419 5.419 5.963 90.00 90.00 90.00
Atoms (fractional coordinates):
K: 0.000 0.000 0.000
Ba: 0.500 0.500 0.000
Mg: 0.000 0.500 0.500
Mg: 0.500 0.000 0.500
Pd: 0.500 0.500 0.500

First-principles (GGA-PBE) data for a relaxed structure of KBa2MgPd, as listed in Alexandria.

Calculated values
The space group is P4/mmm, No. 123. As for the energy above the lowest structure with this stoichiometry: 0.0000 eV per atom.

Lattice parameters (Å, degrees): 6.333 6.333 5.456 90.00 90.00 90.00
Atoms (fractional coordinates):
K: 0.000 0.000 0.000
Ba: 0.000 0.500 0.500
Ba: 0.500 0.000 0.500
Mg: 0.500 0.500 0.000
Pd: 0.500 0.500 0.500

First-principles (GGA-PBE) data for a relaxed structure of KBa2MgPt, as listed in Alexandria.

Calculated values
The space group is P4/mmm, No. 123. As for the electronic total energy: -2.85 eV/atom.

Lattice parameters (Å, degrees): 6.308 6.308 5.390 90.00 90.00 90.00
Atoms (fractional coordinates):
K: 0.000 0.000 0.000
Ba: 0.000 0.500 0.500
Ba: 0.500 0.000 0.500
Mg: 0.500 0.500 0.000
Pt: 0.500 0.500 0.500

First-principles (GGA-PBE) data for a relaxed structure of KBa2MgRh, as listed in Alexandria.

Calculated values
The space group is P4/mmm, No. 123. As for the electronic total energy: -2.86 eV/atom.

Lattice parameters (Å, degrees): 6.136 6.136 5.447 90.00 90.00 90.00
Atoms (fractional coordinates):
K: 0.000 0.000 0.000
Ba: 0.000 0.500 0.500
Ba: 0.500 0.000 0.500
Mg: 0.500 0.500 0.000
Rh: 0.500 0.500 0.500

First-principles (GGA-PBE) data for a relaxed structure of KBaMgSb2, as listed in Alexandria.

Calculated values
The value obtained for the formation energy from raw total energies is 2.68 eV per formula unit. The space group is P4/mmm, No. 123.

Lattice parameters (Å, degrees): 6.007 6.007 5.893 90.00 90.00 90.00
Atoms (fractional coordinates):
K: 0.000 0.000 0.000
Ba: 0.000 0.000 0.500
Mg: 0.500 0.500 0.500
Sb: 0.000 0.500 0.000
Sb: 0.500 0.000 0.000

First-principles (GGA-PBE) data for a relaxed structure of K2BaMgSc, as listed in Alexandria.

Calculated values
The space group is P4/mmm, No. 123. As for the electronic total energy: -1.66 eV/atom.

Lattice parameters (Å, degrees): 6.477 6.477 6.913 90.00 90.00 90.00
Atoms (fractional coordinates):
K: 0.000 0.500 0.000
K: 0.500 0.000 0.000
Ba: 0.000 0.000 0.500
Mg: 0.000 0.000 0.000
Sc: 0.500 0.500 0.500

First-principles (GGA-PBE) data for a relaxed structure of KBa2SrMg, as listed in Alexandria.

Calculated values
The space group is P4/mmm, No. 123. As for the electronic total energy: -1.48 eV/atom.

Lattice parameters (Å, degrees): 6.917 6.917 6.774 90.00 90.00 90.00
Atoms (fractional coordinates):
K: 0.000 0.000 0.000
Ba: 0.000 0.500 0.500
Ba: 0.500 0.000 0.500
Sr: 0.500 0.500 0.000
Mg: 0.500 0.500 0.500

First-principles (GGA-PBE) data for a relaxed structure of KBaSr2Mg, as listed in Alexandria.

Calculated values
The space group is P4/mmm, No. 123. As for the electronic total energy: -1.43 eV/atom.

Lattice parameters (Å, degrees): 6.723 6.723 6.837 90.00 90.00 90.00
Atoms (fractional coordinates):
K: 0.000 0.000 0.000
Ba: 0.500 0.500 0.000
Sr: 0.000 0.500 0.500
Sr: 0.500 0.000 0.500
Mg: 0.500 0.500 0.500

First-principles (GGA-PBE) data for a relaxed structure of KBaSrMg, as listed in Alexandria.

Calculated values
The space group is F-43m, No. 216. As for the electronic total energy: -1.46 eV/atom.

Lattice parameters (Å, degrees): 9.181 9.181 9.181 90.00 90.00 90.00
Atoms (fractional coordinates):
K: 0.000 0.000 0.000
K: 0.000 0.500 0.500
K: 0.500 0.000 0.500
K: 0.500 0.500 0.000
Ba: 0.250 0.250 0.250
Ba: 0.250 0.750 0.750
Ba: 0.750 0.250 0.750
Ba: 0.750 0.750 0.250
Sr: 0.250 0.250 0.750
Sr: 0.250 0.750 0.250
Sr: 0.750 0.250 0.250
Sr: 0.750 0.750 0.750
Mg: 0.000 0.000 0.500
Mg: 0.000 0.500 0.000
Mg: 0.500 0.000 0.000
Mg: 0.500 0.500 0.500

First-principles (GGA-PBE) data for a relaxed structure of KBaMg2Ta, as listed in Alexandria.

Calculated values
The space group is P4/mmm, No. 123. As for the electronic total energy: -2.06 eV/atom.

Lattice parameters (Å, degrees): 6.316 6.316 5.512 90.00 90.00 90.00
Atoms (fractional coordinates):
K: 0.000 0.000 0.000
Ba: 0.500 0.500 0.500
Mg: 0.000 0.500 0.500
Mg: 0.500 0.000 0.500
Ta: 0.500 0.500 0.000

First-principles (GGA-PBE) data for a relaxed structure of KBa2MgTl, as listed in Alexandria.

Calculated values
The space group is P4/mmm, No. 123. As for the electronic total energy: -1.77 eV/atom.

Lattice parameters (Å, degrees): 6.922 6.922 5.543 90.00 90.00 90.00
Atoms (fractional coordinates):
K: 0.000 0.000 0.000
Ba: 0.000 0.500 0.500
Ba: 0.500 0.000 0.500
Mg: 0.500 0.500 0.000
Tl: 0.500 0.500 0.500

First-principles (GGA-PBE) data for a relaxed structure of KBaMgTl, as listed in Alexandria.

Calculated values
The space group is F-43m, No. 216. As for the electronic total energy: -1.82 eV/atom.

Lattice parameters (Å, degrees): 8.220 8.220 8.220 90.00 90.00 90.00
Atoms (fractional coordinates):
K: 0.000 0.000 0.000
K: 0.000 0.500 0.500
K: 0.500 0.000 0.500
K: 0.500 0.500 0.000
Ba: 0.250 0.250 0.250
Ba: 0.250 0.750 0.750
Ba: 0.750 0.250 0.750
Ba: 0.750 0.750 0.250
Mg: 0.250 0.250 0.750
Mg: 0.250 0.750 0.250
Mg: 0.750 0.250 0.250
Mg: 0.750 0.750 0.750
Tl: 0.000 0.000 0.500
Tl: 0.000 0.500 0.000
Tl: 0.500 0.000 0.000
Tl: 0.500 0.500 0.500

First-principles (GGA-PBE) data for a relaxed structure of KBa2MgZn, as listed in Alexandria.

Calculated values
The space group is P4/mmm, No. 123. As for the electronic total energy: -1.51 eV/atom.

Lattice parameters (Å, degrees): 6.631 6.631 5.389 90.00 90.00 90.00
Atoms (fractional coordinates):
K: 0.000 0.000 0.000
Ba: 0.000 0.500 0.500
Ba: 0.500 0.000 0.500
Mg: 0.500 0.500 0.000
Zn: 0.500 0.500 0.500

First-principles (GGA-PBE) data for a relaxed structure of KBaMn4, as listed in Alexandria.

Calculated values
The space group is F-43m, No. 216. As for the electronic total energy: -5.73 eV/atom.

Lattice parameters (Å, degrees): 5.973 5.973 5.973 60.00 60.00 60.00
Atoms (fractional coordinates):
K: 0.000 0.000 0.000
Ba: 0.250 0.250 0.250
Mn: 0.160 0.613 0.613
Mn: 0.613 0.160 0.613
Mn: 0.613 0.613 0.160
Mn: 0.613 0.613 0.613